Record 1
A relaxed CaCr4Cu3O12 crystal, computed with PBE+U.

Cell and atoms, written as POSCAR:
```
CaCr4Cu3O12
1.0
-0.508 -0.919 6.309
-5.437 -3.121 1.269
0.043 -5.658 -2.982
Ca Cr Cu O
1 4 3 12
Direct
0.000 0.000 0.000
0.500 0.500 0.500
0.500 0.000 0.000
0.000 0.500 0.000
0.000 0.000 0.500
0.500 0.000 0.500
0.000 0.500 0.500
0.500 0.500 0.000
0.170 0.142 0.688
0.831 0.858 0.312
0.170 0.519 0.312
0.312 0.170 0.142
0.858 0.312 0.170
0.519 0.312 0.830
0.689 0.169 0.519
0.142 0.688 0.830
0.830 0.481 0.688
0.688 0.830 0.858
0.481 0.688 0.170
0.311 0.831 0.481
```

calculated density	5.2	g/cm3
space-group type	No. 204
VASP energy	-6.672	eV per atom
DOS at the Fermi energy	8.8	states/eV/cell

=====

Record 2
A relaxed Ca2CrCuO crystal, computed with PBE+U.

Cell and atoms, written as POSCAR:
```
Ca2CrCuO
1.0
-2.145 -3.713 -3.960
2.713 0.946 -2.356
3.362 -4.251 2.165
Cr Ca O Cu
1 2 1 1
Direct
0.000 0.000 0.000
0.000 0.000 0.500
0.500 0.000 0.000
0.000 0.500 0.000
0.500 0.500 0.500
```

calculated density	2.8	g/cm3
space-group type	No. 123
VASP energy	-4.234	eV per atom
DOS at the Fermi energy	3.0	states/eV/cell

=====

Record 3
A relaxed CaCr2Cu3Sb2O12 crystal, computed with PBE+U.

Cell and atoms, written as POSCAR:
```
CaCr2Cu3Sb2O12
1.0
-1.283 7.183 -2.033
-6.618 -2.049 -3.062
-3.453 1.258 6.623
Ca Cr Cu Sb O
2 4 6 4 24
Direct
0.000 0.000 0.000
0.500 0.500 0.500
0.250 0.750 0.750
0.250 0.250 0.250
0.750 0.750 0.250
0.750 0.250 0.750
0.000 0.000 0.500
0.000 0.500 0.500
0.500 0.500 0.000
0.000 0.500 0.000
0.500 0.000 0.000
0.500 0.000 0.500
0.750 0.250 0.250
0.750 0.750 0.750
0.250 0.750 0.250
0.250 0.250 0.750
0.499 0.674 0.195
0.499 0.326 0.805
0.501 0.674 0.805
0.326 0.805 0.499
0.805 0.501 0.674
0.805 0.499 0.326
0.674 0.195 0.499
0.195 0.499 0.674
0.674 0.805 0.501
0.326 0.195 0.501
0.195 0.501 0.326
0.501 0.326 0.195
0.001 0.826 0.305
0.001 0.174 0.695
0.999 0.826 0.695
0.174 0.695 0.001
0.999 0.174 0.305
0.305 0.999 0.174
0.174 0.305 0.999
0.826 0.695 0.999
0.305 0.001 0.826
0.826 0.305 0.001
0.695 0.001 0.174
0.695 0.999 0.826
```

calculated density	5.9	g/cm3
space-group type	No. 201
VASP energy	-6.314	eV per atom